[1]
{"formula": "InAsW2", "functional": "PBE", "state": "optimized geometry", "e_form_ev_per_fu": 2.206, "volume_a3_per_cell": 72, "cell": [[4.9872, -0.0087, 0.0200], [3.9306, 3.0695, 0.0200], [1.4672, 0.5036, 4.7039]], "species": ["As", "W", "W", "In"], "frac_coords": [[0.4841, 0.4841, 0.5705], [0.7393, 0.7393, 0.7261], [0.0197, 0.0197, 0.9852], [0.2569, 0.2569, 0.2182]]}

=====

[2]
{"formula": "Na2CaTlSb2", "functional": "PBE", "state": "optimized geometry", "e_form_raw_ev_per_atom": -0.473, "volume_a3_per_cell": 365, "cell": [[4.6825, 0.0000, 0.0000], [0.0000, 8.1827, 0.0000], [0.0000, 0.0000, 9.5325]], "species": ["Na", "Na", "Na", "Na", "Sb", "Sb", "Sb", "Sb", "Tl", "Tl", "Ca", "Ca"], "frac_coords": [[0.5000, 0.0575, 0.0801], [0.5000, 0.5575, 0.9199], [0.0000, 0.3670, 0.1855], [0.0000, 0.8670, 0.8145], [0.0000, 0.7744, 0.1310], [0.5000, 0.7498, 0.6054], [0.0000, 0.2744, 0.8690], [0.5000, 0.2498, 0.3946], [0.5000, 0.6331, 0.2968], [0.5000, 0.1331, 0.7032], [0.0000, 0.4638, 0.5704], [0.0000, 0.9638, 0.4296]]}

=====

[3]
{"formula": "Ca2InGa2", "functional": "PBE", "state": "optimized geometry", "e_form_ev_per_fu": -2.284, "volume_a3_per_cell": 255, "cell": [[-1.1599, -2.2739, -3.8269], [-4.0431, -4.4639, 1.1131], [-8.2179, 4.8262, -3.1418]], "species": ["In", "In", "Ga", "Ga", "Ga", "Ga", "Ca", "Ca", "Ca", "Ca"], "frac_coords": [[0.7815, 0.0902, 0.3468], [0.2185, 0.9098, 0.6532], [0.9723, 0.1596, 0.8959], [0.0277, 0.8404, 0.1041], [0.8701, 0.7025, 0.5573], [0.1299, 0.2975, 0.4427], [0.6853, 0.7309, 0.8985], [0.4995, 0.6793, 0.3217], [0.3147, 0.2691, 0.1015], [0.5005, 0.3207, 0.6783]]}